DFT (PBE) results for a geometry-optimized SrFeHg2 structure.

It has space group Fm-3m (No. 225), with a = 7.318 Å, b = 7.318 Å, c = 7.318 Å, α = 90.00°, β = 90.00° and γ = 90.00°. The asymmetric unit holds Sr at (0.000, 0.000, 0.000), Fe at (0.000, 0.000, 0.500) and Hg at (0.250, 0.250, 0.250).

The calculated formation energy is 169 meV per atom. Its calculated total energy is -2.52 eV/atom.

***

DFT (PBE) results for a geometry-optimized Ca2IrO4 structure.

It has space group P-62m (No. 189), with a = 9.5941 Å, b = 9.5941 Å, c = 3.2642 Å, α = 90.00°, β = 90.00° and γ = 120.00°. The asymmetric unit holds Ca at (0.0000, 0.0000, 0.0000), Ca at (0.0000, 0.6814, 0.5000), Ca at (0.3333, 0.6667, 0.5000), Ir at (0.0000, 0.3184, 0.0000), O at (0.0000, 0.1801, 0.5000), O at (0.0000, 0.4424, 0.5000) and O at (0.1987, 0.7541, 0.0000).

The uncorrected formation energy is -2.01 eV per atom. Its calculated total energy is -6.68 eV/atom.

***

DFT (PBE) results for a geometry-optimized SiNi2Os structure.

It has space group F-43m (No. 216), with a = 5.768 Å, b = 5.768 Å, c = 5.768 Å, α = 90.00°, β = 90.00° and γ = 90.00°. The asymmetric unit holds Si at (0.000, 0.000, 0.000), Ni at (0.000, 0.000, 0.500), Ni at (0.250, 0.250, 0.750) and Os at (0.250, 0.250, 0.250).

The uncorrected formation energy is -0.17 eV per atom. Its calculated total energy is -7.22 eV/atom.

***

DFT (PBE) results for a geometry-optimized BaSc2Be structure.

It has space group R3m (No. 160, hexagonal axes), with a = 3.4809 Å, b = 3.4809 Å, c = 30.8161 Å, α = 90.00°, β = 90.00° and γ = 120.00°. The asymmetric unit holds Ba at (0.0000, 0.0000, 0.0000), Sc at (0.0000, 0.0000, 0.5268), Sc at (0.0000, 0.0000, 0.7758) and Be at (0.0000, 0.0000, 0.2525).

The calculated formation energy is 522 meV per atom. Its calculated total energy is -4.06 eV/atom.

***

DFT (PBE) results for a geometry-optimized YIn4Cl structure.

It has space group F-43m (No. 216), with a = 8.594 Å, b = 8.594 Å, c = 8.594 Å, α = 90.00°, β = 90.00° and γ = 90.00°. The asymmetric unit holds Y at (0.000, 0.000, 0.000), In at (0.125, 0.125, 0.375) and Cl at (0.250, 0.250, 0.750).

The uncorrected formation energy is -0.24 eV per atom. Its calculated total energy is -3.45 eV/atom.

***

DFT (PBE) results for a geometry-optimized TmMgPd2 structure.

It has space group Fm-3m (No. 225), with a = 6.692 Å, b = 6.692 Å, c = 6.692 Å, α = 90.00°, β = 90.00° and γ = 90.00°. The asymmetric unit holds Tm at (0.000, 0.000, 0.000), Mg at (0.000, 0.000, 0.500) and Pd at (0.250, 0.250, 0.250).

The calculated formation energy is -848 meV per atom. Its calculated total energy is -4.96 eV/atom.

***

DFT (PBE) results for a geometry-optimized PaNbB structure.

It has space group P-6m2 (No. 187), with a = 3.9625 Å, b = 3.9625 Å, c = 3.9366 Å, α = 90.00°, β = 90.00° and γ = 120.00°. The asymmetric unit holds Pa at (0.0000, 0.0000, 0.0000), Nb at (0.3333, 0.6667, 0.5000) and B at (0.6667, 0.3333, 0.5000).

Its energy relative to the lowest polymorph listed for this composition is 0.103 eV/atom. The calculated formation energy is 137 meV per atom. Its calculated total energy is -8.61 eV/atom.

***

DFT (PBE) results for a geometry-optimized La4CuIr3 structure.

It has space group Pmm2 (No. 25), with a = 4.021 Å, b = 4.432 Å, c = 10.988 Å, α = 90.00°, β = 90.00° and γ = 90.00°. The asymmetric unit holds La at (0.000, 0.000, 0.000), La at (0.000, 0.500, 0.267), La at (0.500, 0.000, 0.483), La at (0.500, 0.500, 0.766), Cu at (0.000, 0.000, 0.697), Ir at (0.000, 0.500, 0.558), Ir at (0.500, 0.000, 0.220) and Ir at (0.500, 0.500, 0.031).

The calculated formation energy is -612 meV per atom. Its calculated total energy is -6.91 eV/atom.

***

DFT (PBE) results for a geometry-optimized ScAsW2 structure.

It has space group I-42d (No. 122), with a = 7.820 Å, b = 7.820 Å, c = 5.040 Å, α = 90.00°, β = 90.00° and γ = 90.00°. The asymmetric unit holds Sc at (0.000, 0.000, 0.000), As at (0.000, 0.000, 0.500) and W at (0.177, 0.750, 0.625).

The calculated formation energy is 498 meV per atom. Its calculated total energy is -8.72 eV/atom.

***

DFT (PBE) results for a geometry-optimized LaHoGaSi structure.

It has space group Amm2 (No. 38), with a = 4.032 Å, b = 4.411 Å, c = 11.130 Å, α = 90.00°, β = 90.00° and γ = 90.00°. The asymmetric unit holds La at (0.000, 0.000, 0.000), Ho at (0.500, 0.000, 0.281), Ga at (0.500, 0.000, 0.577) and Si at (0.000, 0.000, 0.720).

Its energy relative to the lowest polymorph listed for this composition is 0.000 eV/atom. The uncorrected formation energy is -0.69 eV per atom. Its calculated total energy is -5.18 eV/atom.

***

DFT (PBE) results for a geometry-optimized CaBeOs structure.

It has space group P3m1 (No. 156), with a = 3.1461 Å, b = 3.1461 Å, c = 6.0218 Å, α = 90.00°, β = 90.00° and γ = 120.00°. The asymmetric unit holds Ca at (0.0000, 0.0000, 0.0000), Be at (0.3333, 0.6667, 0.6013) and Os at (0.6667, 0.3333, 0.3804).

Its energy relative to the lowest polymorph listed for this composition is 0.566 eV/atom. The calculated formation energy is 612 meV per atom. Its calculated total energy is -5.04 eV/atom.

***

DFT (PBE) results for a geometry-optimized Bi2SN2 structure.

It has space group P-1 (No. 2), with a = 3.376 Å, b = 3.511 Å, c = 13.358 Å, α = 95.27°, β = 92.88° and γ = 91.47°. The asymmetric unit holds Bi at (0.032, 0.056, 0.158), S at (0.000, 0.500, 0.000) and N at (0.013, 0.063, 0.463).

The uncorrected formation energy is 0.14 eV per atom. Its calculated total energy is -5.57 eV/atom.

***

DFT (PBE) results for a geometry-optimized ErMnSi2Tc structure.

It has space group I-4m2 (No. 119), with a = 3.980 Å, b = 3.980 Å, c = 10.363 Å, α = 90.00°, β = 90.00° and γ = 90.00°. The asymmetric unit holds Er at (0.000, 0.000, 0.000), Mn at (0.000, 0.500, 0.750), Si at (0.000, 0.000, 0.383) and Tc at (0.000, 0.500, 0.250).

The uncorrected formation energy is -0.65 eV per atom. Its calculated total energy is -7.64 eV/atom.

***

DFT (PBE) results for a geometry-optimized Sc2MnCr structure.

It has space group F-43m (No. 216), with a = 6.541 Å, b = 6.541 Å, c = 6.541 Å, α = 90.00°, β = 90.00° and γ = 90.00°. The asymmetric unit holds Sc at (0.000, 0.000, 0.000), Sc at (0.250, 0.250, 0.250), Mn at (0.250, 0.250, 0.750) and Cr at (0.000, 0.000, 0.500).

Its energy relative to the lowest polymorph listed for this composition is 0.200 eV/atom. The calculated formation energy is 274 meV per atom. Its calculated total energy is -7.59 eV/atom.

***

DFT (PBE) results for a geometry-optimized LiCdSI structure.

It has space group R3m (No. 160, hexagonal axes), with a = 4.2811 Å, b = 4.2811 Å, c = 21.6939 Å, α = 90.00°, β = 90.00° and γ = 120.00°. The asymmetric unit holds Li at (0.0000, 0.0000, 0.0000), Cd at (0.0000, 0.0000, 0.5256), S at (0.0000, 0.0000, 0.8896) and I at (0.0000, 0.0000, 0.3880).

The uncorrected formation energy is -0.89 eV per atom. Its calculated total energy is -3.02 eV/atom.

***

DFT (PBE) results for a geometry-optimized SrNi2Sb structure.

It has space group Pm (No. 6), with a = 4.763 Å, b = 4.141 Å, c = 4.853 Å, α = 90.00°, β = 104.09° and γ = 90.00°. The asymmetric unit holds Sr at (0.000, 0.000, 0.000), Ni at (0.164, 0.500, 0.558), Ni at (0.420, 0.000, 0.561) and Sb at (0.634, 0.500, 0.400).

The uncorrected formation energy is -0.21 eV per atom. Its calculated total energy is -4.55 eV/atom.

***

DFT (PBE) results for a geometry-optimized KCrIr2 structure.

It has space group Cmm2 (No. 35), with a = 2.794 Å, b = 4.656 Å, c = 10.340 Å, α = 90.00°, β = 90.00° and γ = 90.00°. The asymmetric unit holds K at (0.000, 0.000, 0.000), Cr at (0.000, 0.500, 0.702), Ir at (0.000, 0.000, 0.503) and Ir at (0.000, 0.500, 0.269).

Its energy relative to the lowest polymorph listed for this composition is 0.501 eV/atom. The calculated formation energy is 832 meV per atom. Its calculated total energy is -6.28 eV/atom.

***

DFT (PBE) results for a geometry-optimized Er3ThSn3 structure.

It has space group P6_3/m (No. 176), with a = 9.1155 Å, b = 9.1155 Å, c = 5.4287 Å, α = 90.00°, β = 90.00° and γ = 120.00°. The asymmetric unit holds Er at (0.0064, 0.7666, 0.2500), Th at (0.3333, 0.6667, 0.2500) and Sn at (0.0738, 0.6269, 0.7500).

The calculated formation energy is -500 meV per atom. Its calculated total energy is -5.23 eV/atom.

***

DFT (PBE) results for a geometry-optimized CdAgS2N structure.

It has space group P4/mmm (No. 123), with a = 5.005 Å, b = 5.005 Å, c = 4.011 Å, α = 90.00°, β = 90.00° and γ = 90.00°. The asymmetric unit holds Cd at (0.000, 0.000, 0.000), Ag at (0.500, 0.500, 0.500), S at (0.000, 0.500, 0.500) and N at (0.500, 0.500, 0.000).

Its energy relative to the lowest polymorph listed for this composition is 0.000 eV/atom. The uncorrected formation energy is 1.05 eV per atom. Its calculated total energy is -3.02 eV/atom.

***

DFT (PBE) results for a geometry-optimized Cr structure.

It has space group Pnma (No. 62), with a = 10.004 Å, b = 4.193 Å, c = 4.621 Å, α = 90.00°, β = 90.00° and γ = 90.00°. The asymmetric unit holds Cr at (0.034, 0.250, 0.146), Cr at (0.098, 0.750, 0.398), Cr at (0.133, 0.250, 0.715) and Cr at (0.233, 0.750, 0.828).

Its energy relative to the lowest polymorph listed for this composition is 0.362 eV/atom. The calculated formation energy is 362 meV per atom. Its calculated total energy is -9.26 eV/atom.

***

DFT (PBE) results for a geometry-optimized CsNa2Sn2As2 structure.

It has space group C2/m (No. 12), with a = 12.204 Å, b = 4.108 Å, c = 10.498 Å, α = 90.00°, β = 116.28° and γ = 90.00°. The asymmetric unit holds Cs at (0.000, 0.000, 0.000), Na at (0.139, 0.000, 0.403), Sn at (0.088, 0.500, 0.670) and As at (0.244, 0.000, 0.720).

The calculated formation energy is -308 meV per atom. Its calculated total energy is -3.28 eV/atom.

***

DFT (PBE) results for a geometry-optimized TlSb2I structure.

It has space group Fm-3m (No. 225), with a = 7.808 Å, b = 7.808 Å, c = 7.808 Å, α = 90.00°, β = 90.00° and γ = 90.00°. The asymmetric unit holds Tl at (0.000, 0.000, 0.000), Sb at (0.250, 0.250, 0.250) and I at (0.000, 0.000, 0.500).

The uncorrected formation energy is 0.34 eV per atom. Its calculated total energy is -2.70 eV/atom.

***

DFT (PBE) results for a geometry-optimized TlBNO2 structure.

It has space group P4/mmm (No. 123), with a = 4.562 Å, b = 4.562 Å, c = 2.740 Å, α = 90.00°, β = 90.00° and γ = 90.00°. The asymmetric unit holds Tl at (0.000, 0.000, 0.000), B at (0.500, 0.500, 0.000), N at (0.500, 0.500, 0.500) and O at (0.000, 0.500, 0.500).

The uncorrected formation energy is 0.50 eV per atom. Its calculated total energy is -4.95 eV/atom.

***

DFT (PBE) results for a geometry-optimized SrCdOs2 structure.

It has space group Pmmm (No. 47), with a = 2.829 Å, b = 4.565 Å, c = 6.454 Å, α = 90.00°, β = 90.00° and γ = 90.00°. The asymmetric unit holds Sr at (0.000, 0.000, 0.000), Cd at (0.000, 0.000, 0.500) and Os at (0.500, 0.500, 0.315).

The calculated formation energy is 829 meV per atom. Its calculated total energy is -5.43 eV/atom.

***

DFT (PBE) results for a geometry-optimized Y2MgAg3 structure.

It has space group P-3m1 (No. 164), with a = 5.0379 Å, b = 5.0379 Å, c = 12.2835 Å, α = 90.00°, β = 90.00° and γ = 120.00°. The asymmetric unit holds Y at (0.0000, 0.0000, 0.0000), Y at (0.0000, 0.0000, 0.5000), Y at (0.3333, 0.6667, 0.1782), Mg at (0.3333, 0.6667, 0.6650), Ag at (0.0000, 0.0000, 0.2538), Ag at (0.3333, 0.6667, 0.4238) and Ag at (0.3333, 0.6667, 0.9161).

The calculated formation energy is -304 meV per atom. Its calculated total energy is -4.15 eV/atom.

***

DFT (PBE) results for a geometry-optimized Ho2Pt4Au structure.

It has space group I4/mmm (No. 139), with a = 3.985 Å, b = 3.985 Å, c = 18.259 Å, α = 90.00°, β = 90.00° and γ = 90.00°. The asymmetric unit holds Ho at (0.000, 0.000, 0.117), Pt at (0.000, 0.000, 0.356), Pt at (0.000, 0.500, 0.250) and Au at (0.000, 0.000, 0.500).

Its energy relative to the lowest polymorph listed for this composition is 0.000 eV/atom. The calculated formation energy is -886 meV per atom. Its calculated total energy is -6.11 eV/atom.

***

DFT (PBE) results for a geometry-optimized Gd2SeCl structure.

It has space group R-3m (No. 166, hexagonal axes), with a = 4.1290 Å, b = 4.1290 Å, c = 19.3786 Å, α = 90.00°, β = 90.00° and γ = 120.00°. The asymmetric unit holds Gd at (0.0000, 0.0000, 0.2491), Se at (0.0000, 0.0000, 0.5000) and Cl at (0.0000, 0.0000, 0.0000).

The uncorrected formation energy is -1.54 eV per atom. Its calculated total energy is -9.91 eV/atom.